First-principles (PBE) data for crystalline CoBiMoOs at its relaxed geometry, as listed in OQMD.

Output
**Total moment**: 11.45 μB per cell
**Electronic total energy**: -0.2784 hartree per atom

abc: 6.446 6.446 6.446
angles: 90.00 90.00 90.00
Space group F-43m (No. 216)
Unique sites:
Co 0.000 0.000 0.000 (multiplicity 4)
Bi 0.250 0.250 0.750 (multiplicity 4)
Mo 0.250 0.250 0.250 (multiplicity 4)
Os 0.000 0.000 0.500 (multiplicity 4)